Cr2SiC after structural relaxation, computed with GGA-PBEsol.

abc: 6.2359 6.2359 4.3226
angles: 90.00 90.00 90.00
With the nearest neighbours (Å) after each atom.
Space group I-42d (No. 122)
Inequivalent atoms, fractional coordinates:
Cr (0.1596, 0.2500, 0.1250) (multiplicity 8)  2 C 1.93
Si (0.0000, 0.0000, 0.5000) (multiplicity 4)  2 C 2.16
C (0.0000, 0.0000, 0.0000) (multiplicity 4)  4 Cr 1.93

## Properties
E_form (uncorrected): 0.167 eV per atom


SmCr2Si2C after structural relaxation, computed with GGA-PBEsol.

abc: 3.9339 3.9339 5.2594
angles: 90.00 90.00 90.00
With the nearest neighbours (Å) after each atom.
Space group P4/mmm (No. 123)
Inequivalent atoms, fractional coordinates:
Sm (0.0000, 0.0000, 0.0000) (multiplicity 1)  2 C 2.63
Cr (0.0000, 0.5000, 0.5000) (multiplicity 2)  2 C 1.97
Si (0.5000, 0.5000, 0.2319) (multiplicity 2)  4 Cr 2.42, 1 Si 2.44
C (0.0000, 0.0000, 0.5000) (multiplicity 1)  4 Cr 1.97

## Properties
E_form (uncorrected): -0.525 eV per atom


YCrSiC2 after structural relaxation, computed with GGA-PBEsol.

abc: 4.3282 4.3282 5.3425
angles: 90.00 90.00 90.00
With the nearest neighbours (Å) after each atom.
Space group P4/mmm (No. 123)
Inequivalent atoms, fractional coordinates:
Y (0.0000, 0.0000, 0.0000) (multiplicity 1)  4 C 2.16
Cr (0.0000, 0.0000, 0.5000) (multiplicity 1)  2 Y 2.67
Si (0.5000, 0.5000, 0.5000) (multiplicity 1)  4 Cr 3.06
C (0.0000, 0.5000, 0.0000) (multiplicity 2)  2 Y 2.16

## Properties
E_form (uncorrected): 2.630 eV per atom


YCr2Si2C after structural relaxation, computed with GGA-PBEsol.

abc: 3.9176 3.9176 5.1862
angles: 90.00 90.00 90.00
With the nearest neighbours (Å) after each atom.
Space group P4/mmm (No. 123)
Inequivalent atoms, fractional coordinates:
Y (0.0000, 0.0000, 0.0000) (multiplicity 1)  2 C 2.59
Cr (0.0000, 0.5000, 0.5000) (multiplicity 2)  2 C 1.96
Si (0.5000, 0.5000, 0.2300) (multiplicity 2)  1 Si 2.39, 4 Cr 2.41
C (0.0000, 0.0000, 0.5000) (multiplicity 1)  4 Cr 1.96

## Properties
E_form (uncorrected): -0.540 eV per atom


Cr2SnC after structural relaxation, computed with GGA-PBEsol.

abc: 5.8243 5.8243 5.8243
angles: 90.00 90.00 90.00
With the nearest neighbours (Å) after each atom.
Space group Fm-3m (No. 225)
Inequivalent atoms, fractional coordinates:
Cr (0.2500, 0.2500, 0.2500) (multiplicity 8)  4 Sn 2.52, 4 C 2.52
Sn (0.0000, 0.0000, 0.0000) (multiplicity 4)  8 Cr 2.52
C (0.0000, 0.0000, 0.5000) (multiplicity 4)  8 Cr 2.52

## Properties
ΔH_f (0 K): 135.9 kJ per mole of atoms


CrTcC3 after structural relaxation, computed with GGA-PBEsol.

abc: 3.7162 3.7162 3.7162
angles: 90.00 90.00 90.00
With the nearest neighbours (Å) after each atom.
Space group Pm-3m (No. 221)
Inequivalent atoms, fractional coordinates:
Cr (0.0000, 0.0000, 0.0000) (multiplicity 1)  6 C 1.86
Tc (0.5000, 0.5000, 0.5000) (multiplicity 1)  12 C 2.63
C (0.0000, 0.0000, 0.5000) (multiplicity 3)  2 Cr 1.86

## Properties
ΔH_f (0 K): 191.0 kJ per mole of atoms


YCr2TcC after structural relaxation, computed with GGA-PBEsol.

abc: 4.0473 4.0473 4.1749
angles: 90.00 90.00 90.00
With the nearest neighbours (Å) after each atom.
Space group P4/mmm (No. 123)
Inequivalent atoms, fractional coordinates:
Y (0.0000, 0.0000, 0.0000) (multiplicity 1)  4 Tc 2.86, 8 Cr 2.91
Cr (0.0000, 0.5000, 0.5000) (multiplicity 2)  2 C 2.02
Tc (0.5000, 0.5000, 0.0000) (multiplicity 1)  2 C 2.09
C (0.5000, 0.5000, 0.5000) (multiplicity 1)  4 Cr 2.02, 2 Tc 2.09

## Properties
ΔH_f (0 K): 16.5 kJ per mole of atoms


CrTeC3 after structural relaxation, computed with GGA-PBEsol.

abc: 3.8873 3.8873 3.8873
angles: 90.00 90.00 90.00
With the nearest neighbours (Å) after each atom.
Space group Pm-3m (No. 221)
Inequivalent atoms, fractional coordinates:
Cr (0.0000, 0.0000, 0.0000) (multiplicity 1)  6 C 1.94
Te (0.5000, 0.5000, 0.5000) (multiplicity 1)  12 C 2.75
C (0.0000, 0.0000, 0.5000) (multiplicity 3)  2 Cr 1.94

## Properties
E_form (uncorrected): 1.939 eV per atom


TiCrTeC2 after structural relaxation, computed with GGA-PBEsol.

abc: 3.9718 3.9718 5.5189
angles: 90.00 90.00 90.00
With the nearest neighbours (Å) after each atom.
Space group P4/mmm (No. 123)
Inequivalent atoms, fractional coordinates:
Ti (0.0000, 0.0000, 0.0000) (multiplicity 1)  4 C 1.99
Cr (0.5000, 0.5000, 0.5000) (multiplicity 1)  4 Te 2.81
Te (0.0000, 0.0000, 0.5000) (multiplicity 1)  2 Ti 2.76, 4 Cr 2.81
C (0.0000, 0.5000, 0.0000) (multiplicity 2)  2 Ti 1.99

## Properties
E_form (uncorrected): 1.454 eV per atom


Ti4CrC5 after structural relaxation, computed with GGA-PBEsol.

abc: 2.9967 2.9967 36.7533
angles: 90.00 90.00 120.00
With the nearest neighbours (Å) after each atom.
Space group R-3m (No. 166, hexagonal axes)
Inequivalent atoms, fractional coordinates:
Ti (0.0000, 0.0000, 0.1022) (multiplicity 6)  6 C 2.13-2.14
Ti (0.0000, 0.0000, 0.2993) (multiplicity 6)  6 C 2.13-2.14
Cr (0.0000, 0.0000, 0.5000) (multiplicity 3)  6 C 2.05
C (0.0000, 0.0000, 0.0000) (multiplicity 3)  6 Ti 2.13
C (0.0000, 0.0000, 0.1967) (multiplicity 6)  3 Cr 2.05, 3 Ti 2.14
C (0.0000, 0.0000, 0.4017) (multiplicity 6)  6 Ti 2.13-2.14

## Properties
ΔH_f (0 K): -67.1 kJ per mole of atoms


TiCrC2 after structural relaxation, computed with GGA-PBEsol.

abc: 5.1667 5.1667 5.1667
angles: 90.00 90.00 90.00
With the nearest neighbours (Å) after each atom.
Space group Fm-3m (No. 225)
Inequivalent atoms, fractional coordinates:
Ti (0.0000, 0.0000, 0.0000) (multiplicity 4)  8 C 2.24
Cr (0.0000, 0.0000, 0.5000) (multiplicity 4)  8 C 2.24
C (0.2500, 0.2500, 0.2500) (multiplicity 8)  4 Cr 2.24, 4 Ti 2.24

## Properties
ΔH_f (0 K): 36.1 kJ per mole of atoms


YTiCr2C after structural relaxation, computed with GGA-PBEsol.

abc: 4.0329 4.0329 5.5883
angles: 90.00 90.00 90.00
With the nearest neighbours (Å) after each atom.
Space group P4/mmm (No. 123)
Inequivalent atoms, fractional coordinates:
Y (0.0000, 0.0000, 0.0000) (multiplicity 1)  2 Ti 2.79, 4 C 2.85
Ti (0.0000, 0.0000, 0.5000) (multiplicity 1)  4 Cr 2.02
Cr (0.0000, 0.5000, 0.5000) (multiplicity 2)  2 Ti 2.02
C (0.5000, 0.5000, 0.0000) (multiplicity 1)  4 Y 2.85

## Properties
ΔH_f (0 K): 203.2 kJ per mole of atoms


VCrC after structural relaxation, computed with GGA-PBEsol.

abc: 4.3832 4.8915 5.6061
angles: 90.00 90.00 90.00
With the nearest neighbours (Å) after each atom.
Space group P2_12_12 (No. 18)
Inequivalent atoms, fractional coordinates:
V (0.2322, 0.1764, 0.1395) (multiplicity 4)  3 C 1.97-2.01
Cr (0.2469, 0.6733, 0.3695) (multiplicity 4)  3 C 1.94-1.96
C (0.0000, 0.0000, 0.8712) (multiplicity 2)  2 Cr 1.94, 4 V 1.97-2.01
C (0.0000, 0.5000, 0.6175) (multiplicity 2)  4 Cr 1.95-1.96, 2 V 1.99

## Properties
ΔH_f (0 K): -36.3 kJ per mole of atoms


Cr22WC6 after structural relaxation, computed with GGA-PBEsol.

abc: 10.4824 10.4824 10.4824
angles: 90.00 90.00 90.00
With the nearest neighbours (Å) after each atom.
Space group Fm-3m (No. 225)
Inequivalent atoms, fractional coordinates:
Cr (0.0000, 0.1730, 0.1730) (multiplicity 48)  2 C 2.11, 1 Cr 2.28
Cr (0.1186, 0.1186, 0.3814) (multiplicity 32)  3 C 2.08
Cr (0.2500, 0.2500, 0.2500) (multiplicity 8)  4 Cr 2.39
W (0.0000, 0.0000, 0.0000) (multiplicity 4)  12 Cr 2.56
C (0.0000, 0.0000, 0.2762) (multiplicity 24)  8 Cr 2.08-2.11

## Properties
ΔH_f (0 K): -9.9 kJ per mole of atoms


Y3CrC after structural relaxation, computed with GGA-PBEsol.

abc: 4.8643 4.8643 4.8643
angles: 90.00 90.00 90.00
With the nearest neighbours (Å) after each atom.
Space group Pm-3m (No. 221)
Inequivalent atoms, fractional coordinates:
Y (0.0000, 0.0000, 0.5000) (multiplicity 3)  2 Cr 2.43
Cr (0.0000, 0.0000, 0.0000) (multiplicity 1)  6 Y 2.43
C (0.5000, 0.5000, 0.5000) (multiplicity 1)  12 Y 3.44

## Properties
ΔH_f (0 K): 141.0 kJ per mole of atoms


Y2Cr2C3 after structural relaxation, computed with GGA-PBEsol.

abc: 10.2849 3.3570 5.5079
angles: 90.00 105.84 90.00
With the nearest neighbours (Å) after each atom.
Space group C2/m (No. 12)
Inequivalent atoms, fractional coordinates:
Y (0.1052, 0.0000, 0.3169) (multiplicity 4)  5 C 2.45-2.65
Cr (0.1572, 0.5000, 0.8903) (multiplicity 4)  4 C 1.87-1.97
C (0.0000, 0.5000, 0.0000) (multiplicity 2)  2 Cr 1.87
C (0.2133, 0.0000, 0.7719) (multiplicity 4)  3 Cr 1.94-1.97

## Properties
ΔH_f (0 K): -36.5 kJ per mole of atoms


CsEr10C4I18 after structural relaxation, computed with GGA-PBEsol.

abc: 10.9982 11.0613 11.1252
angles: 66.70 87.02 60.51
With the nearest neighbours (Å) after each atom.
Space group P-1 (No. 2)
Inequivalent atoms, fractional coordinates:
Cs (0.0000, 0.0000, 0.0000) (multiplicity 1)  12 I 3.90-4.30
Er (0.1765, 0.2763, 0.2101) (multiplicity 2)  2 C 2.42
Er (0.2212, 0.3533, 0.4878) (multiplicity 2)  1 C 2.17
Er (0.3940, 0.9440, 0.4992) (multiplicity 2)  4 C 2.56-2.58
Er (0.4065, 0.3923, 0.2077) (multiplicity 2)  2 C 2.44
Er (0.4615, 0.9652, 0.8252) (multiplicity 2)  1 C 2.16
C (0.3476, 0.2198, 0.3814) (multiplicity 2)  1 C 1.43
C (0.4259, 0.1416, 0.3029) (multiplicity 2)  1 C 1.43
I (0.0550, 0.5280, 0.6704) (multiplicity 2)  3 Er 2.98-3.23
I (0.1114, 0.0387, 0.3421) (multiplicity 2)  2 Er 2.87-3.12
I (0.1398, 0.5705, 0.9957) (multiplicity 2)  2 Er 3.02-3.07
I (0.1770, 0.0950, 0.6708) (multiplicity 2)  3 Er 3.00-3.20
I (0.2385, 0.6256, 0.3182) (multiplicity 2)  2 Er 2.95-3.03
I (0.2746, 0.1470, 0.9979) (multiplicity 2)  3 Er 2.99-3.25
I (0.3332, 0.6872, 0.6541) (multiplicity 2)  2 Er 2.87-3.06
I (0.4327, 0.6990, 0.0051) (multiplicity 2)  2 Er 2.99-3.07
I (0.4781, 0.2466, 0.6710) (multiplicity 2)  3 Er 2.99-3.16

## Properties
E_form (uncorrected): -1.239 eV per atom


CsEr6CI12 after structural relaxation, computed with GGA-PBEsol.

abc: 10.9333 10.9333 20.0994
angles: 90.00 90.00 120.00
With the nearest neighbours (Å) after each atom.
Space group R-3 (No. 148, hexagonal axes)
Inequivalent atoms, fractional coordinates:
Cs (0.0000, 0.0000, 0.0000) (multiplicity 3)  12 I 4.08-4.11
Er (0.0403, 0.2012, 0.4293) (multiplicity 18)  1 C 2.47
C (0.0000, 0.0000, 0.5000) (multiplicity 3)  6 Er 2.47
I (0.0466, 0.2407, 0.6715) (multiplicity 18)  3 Er 3.01-3.28
I (0.0497, 0.2369, 0.1651) (multiplicity 18)  2 Er 2.95-2.96

## Properties
E_form (uncorrected): -1.258 eV per atom


CsCOF3 after structural relaxation, computed with GGA-PBEsol.

abc: 5.8977 7.6977 9.3929
angles: 90.00 90.91 90.00
With the nearest neighbours (Å) after each atom.
Space group P2_1/c (No. 14)
Inequivalent atoms, fractional coordinates:
Cs (0.2282, 0.1582, 0.1787) (multiplicity 4)  3 O 3.02-3.08, 6 F 3.11-3.33
C (0.2377, 0.7066, 0.0682) (multiplicity 4)  1 O 1.23
O (0.0655, 0.7056, 0.5852) (multiplicity 4)  1 C 1.23
F (0.2618, 0.6243, 0.9347) (multiplicity 4)  1 C 1.41
F (0.2748, 0.5674, 0.1664) (multiplicity 4)  1 C 1.43
F (0.4513, 0.7012, 0.5815) (multiplicity 4)  1 C 1.45

## Properties
E_form (uncorrected): -2.044 eV per atom


CsZrCF2 after structural relaxation, computed with GGA-PBEsol.

abc: 4.2276 4.2276 8.1439
angles: 90.00 90.00 90.00
With the nearest neighbours (Å) after each atom.
Space group P4/mmm (No. 123)
Inequivalent atoms, fractional coordinates:
Cs (0.0000, 0.0000, 0.0000) (multiplicity 1)  4 C 2.99
Zr (0.0000, 0.0000, 0.5000) (multiplicity 1)  4 F 2.11
C (0.5000, 0.5000, 0.0000) (multiplicity 1)  4 Cs 2.99
F (0.0000, 0.5000, 0.5000) (multiplicity 2)  2 Zr 2.11

## Properties
E_form (uncorrected): -0.379 eV per atom


| no. | spin magnetization (μB per atom) | electronic total energy (eV/atom) |
| --- | --- | --- |
| 1 | 0.0000 | -8.801 |
| 2 | 0.1529 | -8.311 |
| 3 | 0.8389 | -5.790 |
| 4 | 0.1618 | -8.614 |
| 5 | 0.3537 | -7.188 |
| 6 | 0.5904 | -8.108 |
| 7 | 0.8205 | -9.472 |
| 8 | 0.0002 | -6.601 |
| 9 | 0.7473 | -6.822 |
| 10 | 0.0151 | -9.871 |
| 11 | 0.0003 | -9.088 |
| 12 | 0.1242 | -6.948 |
| 13 | 0.0000 | -10.217 |
| 14 | 0.0000 | -10.344 |
| 15 | 0.0001 | -6.610 |
| 16 | 0.0004 | -9.386 |
| 17 | 0.0220 | -4.893 |
| 18 | 0.1101 | -4.325 |
| 19 | 0.0178 | -5.647 |
| 20 | 0.9524 | -5.085 |